1.
Density functional theory data (GGA-PBE) for a relaxed structure of BeMoRh.

- excess energy over the best structure of this formula in the dataset (meV/atom) = 521.8
- ΔE_f (eV per atom) = 0.223
- E_tot (eV/atom) = -7.08

a b c (Å): 5.703 5.703 5.703
angles (deg): 90.00 90.00 90.00
Space group F-43m (No. 216)
One atom of each set of equivalent atoms:
Be (0.000, 0.000, 0.000) [4 per cell]
Mo (0.000, 0.000, 0.500) [4 per cell]
Rh (0.250, 0.250, 0.750) [4 per cell]

2.
Density functional theory data (GGA-PBE) for a relaxed structure of CsPuMnCl6.

- raw formation energy (eV per atom) = -1.682
- E_tot (eV/atom) = -5.62

a b c (Å): 6.9712 6.9712 7.6809
angles (deg): 90.00 90.00 120.00
Space group P312 (No. 149)
One atom of each set of equivalent atoms:
Cs (0.0000, 0.0000, 0.0000) [1 per cell]
Pu (0.6667, 0.3333, 0.5000) [1 per cell]
Mn (0.3333, 0.6667, 0.5000) [1 per cell]
Cl (0.0193, 0.3862, 0.6932) [6 per cell]

3.
Density functional theory data (GGA-PBE) for a relaxed structure of LaHgW2.

- ΔE_f (eV per atom) = 0.907
- E_tot (eV/atom) = -6.88

a b c (Å): 2.873 4.569 6.618
angles (deg): 90.00 90.00 90.00
Space group Pmmm (No. 47)
One atom of each set of equivalent atoms:
La (0.000, 0.000, 0.000) [1 per cell]
Hg (0.000, 0.000, 0.500) [1 per cell]
W (0.500, 0.500, 0.309) [2 per cell]

4.
Density functional theory data (GGA-PBE) for a relaxed structure of NbAgS2.

- raw formation energy (eV per atom) = -0.589
- E_tot (eV/atom) = -5.88

a b c (Å): 3.3147 3.3147 22.8232
angles (deg): 90.00 90.00 120.00
Space group R3m (No. 160, hexagonal axes)
One atom of each set of equivalent atoms:
Nb (0.0000, 0.0000, 0.0000) [3 per cell]
Ag (0.0000, 0.0000, 0.1639) [3 per cell]
S (0.0000, 0.0000, 0.4045) [3 per cell]
S (0.0000, 0.0000, 0.5951) [3 per cell]

5.
Density functional theory data (GGA-PBE) for a relaxed structure of PIr3Pt.

- excess energy over the best structure of this formula in the dataset (meV/atom) = 0.0
- ΔE_f (eV per atom) = 0.703
- E_tot (eV/atom) = -6.90

a b c (Å): 4.373 4.373 4.373
angles (deg): 90.00 90.00 90.00
Space group Pm-3m (No. 221)
One atom of each set of equivalent atoms:
P (0.000, 0.000, 0.000) [1 per cell]
Ir (0.000, 0.000, 0.500) [3 per cell]
Pt (0.500, 0.500, 0.500) [1 per cell]

6.
Density functional theory data (GGA-PBE) for a relaxed structure of In2RuO.

- raw formation energy (eV per atom) = -0.139
- E_tot (eV/atom) = -5.07

a b c (Å): 6.592 6.592 6.394
angles (deg): 90.00 90.00 90.00
Space group I-42d (No. 122)
One atom of each set of equivalent atoms:
In (0.193, 0.750, 0.125) [8 per cell]
Ru (0.000, 0.000, 0.500) [4 per cell]
O (0.000, 0.000, 0.000) [4 per cell]

7.
Density functional theory data (GGA-PBE) for a relaxed structure of PmDy4YS8.

- raw formation energy (eV per atom) = -1.933
- E_tot (eV/atom) = -6.41

a b c (Å): 8.0857 8.0857 19.8204
angles (deg): 90.00 90.00 120.00
Space group R3m (No. 160, hexagonal axes)
One atom of each set of equivalent atoms:
Pm (0.0000, 0.0000, 0.0000) [3 per cell]
Dy (0.0000, 0.0000, 0.2503) [3 per cell]
Dy (0.0015, 0.5008, 0.1255) [9 per cell]
Y (0.0000, 0.0000, 0.6248) [3 per cell]
S (0.0000, 0.0000, 0.3825) [3 per cell]
S (0.0000, 0.0000, 0.8647) [3 per cell]
S (0.0268, 0.5134, 0.3790) [9 per cell]
S (0.1760, 0.3520, 0.2060) [9 per cell]

Calculated values (μB per cell) of total moment for the records, taken in order: 0.00; 10.00; 0.00; 0.00; 0.02; 4.03; 0.00.